Computed, not measured: a geometry-optimized TbSmMg2 structure at the PBE level of DFT.

```
data_TbSmMg2
_space_group_name_H-M_alt 'F m -3 m'
_space_group_IT_number 225
_space_group_name_Hall '-F 4 2 3'
_cell_length_a 7.637
_cell_length_b 7.637
_cell_length_c 7.637
_cell_angle_alpha 90.00
_cell_angle_beta 90.00
_cell_angle_gamma 90.00
loop_
_atom_site_label
_atom_site_fract_x
_atom_site_fract_y
_atom_site_fract_z
_atom_site_occupancy
Tb1 0.000 0.000 0.000 1
Sm1 0.000 0.000 0.500 1
Mg1 0.250 0.250 0.250 1
```

Values from the calculation:
- electronic total energy (eV per atom) = -3.203
- crystal system = cubic